# 1
PaZnAu4 after structural relaxation, computed with GGA-PBE.

Output
ρ in g/cm³: 15.1
Crystal system: monoclinic
Energy of formation from the pure elements in meV per atom: -259
Space group: No. 12

a b c (Å): 5.4840 5.4840 8.1742
angles (deg): 91.19 91.19 75.63
Closest atoms and distances in Å follow each position.
Element x y z (fractional)
Pa: 0.1672 0.1672 0.2638  7 Au 2.87-3.13
Pa: 0.8328 0.8328 0.7362  7 Au 2.87-3.13
Zn: 0.4137 0.4137 0.8577  5 Au 2.58-2.84, 1 Zn 2.73
Zn: 0.5863 0.5863 0.1423  5 Au 2.58-2.84, 1 Zn 2.73
Au: 0.0886 0.6673 0.1076  3 Zn 2.66-2.92, 4 Au 2.79-2.84, 1 Pa 2.98
Au: 0.2204 0.2204 0.6123  1 Zn 2.58, 4 Au 2.84-2.87, 1 Pa 2.87
Au: 0.2909 0.7091 0.5000  5 Au 2.81-2.97, 2 Pa 3.13
Au: 0.3327 0.9114 0.8924  3 Zn 2.66-2.92, 4 Au 2.79-2.84, 1 Pa 2.98
Au: 0.6673 0.0886 0.1076  3 Zn 2.66-2.92, 4 Au 2.79-2.84, 1 Pa 2.98
Au: 0.7091 0.2909 0.5000  5 Au 2.81-2.97, 2 Pa 3.13
Au: 0.7796 0.7796 0.3877  1 Zn 2.58, 4 Au 2.84-2.87, 1 Pa 2.87
Au: 0.9114 0.3327 0.8924  3 Zn 2.66-2.92, 4 Au 2.79-2.84, 1 Pa 2.98



# 2
Ca2PuAgTe4 after structural relaxation, computed with GGA-PBE.

Output
ρ in g/cm³: 6.2
E_form (uncorrected) in kJ/mol of atoms: -103.4
Crystal system: monoclinic
Space group: No. 10

a b c (Å): 7.7181 4.4880 7.7255
angles (deg): 90.00 110.06 90.00
Closest atoms and distances in Å follow each position.
Element x y z (fractional)
Ca: 0.0000 0.0000 0.0000  6 Te 3.17-3.19
Ca: 0.0000 0.5000 0.5000  6 Te 3.16-3.22
Pu: 0.5000 0.0000 0.5000  6 Te 3.13-3.14
Ag: 0.5000 0.5000 0.0000  6 Te 3.09-3.16
Te: 0.2531 0.5000 0.2531  2 Pu 3.13, 1 Ag 3.16, 3 Ca 3.16-3.17
Te: 0.2624 0.0000 0.7578  2 Ag 3.09, 1 Pu 3.14, 3 Ca 3.19-3.22
Te: 0.7376 0.0000 0.2422  2 Ag 3.09, 1 Pu 3.14, 3 Ca 3.19-3.22
Te: 0.7469 0.5000 0.7469  2 Pu 3.13, 1 Ag 3.16, 3 Ca 3.16-3.17



# 3
Y2FePt after structural relaxation, computed with GGA-PBE.

Output
ρ in g/cm³: 7.8
Crystal system: tetragonal
Energy of formation from the pure elements in meV per atom: -259
Space group: No. 99

a b c (Å): 3.3688 3.3688 8.0140
angles (deg): 90.00 90.00 90.00
Closest atoms and distances in Å follow each position.
Element x y z (fractional)
Y: 0.0000 0.0000 0.0000  4 Pt 2.97, 1 Fe 3.04
Y: 0.5000 0.5000 0.3886  4 Fe 3.02, 1 Pt 3.13, 4 Y 3.37
Fe: 0.0000 0.0000 0.6205  4 Pt 2.70, 4 Y 3.02
Pt: 0.5000 0.5000 0.7795  4 Fe 2.70, 4 Y 2.97



# 4
Cs2RbZnGeSe after structural relaxation, computed with GGA-PBE.

Output
ρ in g/cm³: 3.8
E_form (uncorrected) in kJ/mol of atoms: -31.4
Crystal system: triclinic
Energy relative to the lowest polymorph listed for this composition in eV per formula unit: 0.54
Space group: No. 1

a b c (Å): 5.4191 7.0611 7.1261
angles (deg): 78.98 68.34 87.94
Closest atoms and distances in Å follow each position.
Element x y z (fractional)
Cs: 0.0000 0.0000 0.0000  2 Se 3.71-3.87, 2 Zn 3.71-3.86, 2 Ge 3.78-3.82, 1 Cs 4.02
Cs: 0.4222 0.5498 0.1346  2 Se 3.56-3.59, 1 Zn 3.79, 1 Ge 3.96
Rb: 0.7090 0.3206 0.5758  2 Se 3.46-3.53, 2 Ge 3.68-3.71, 1 Zn 3.82
Zn: 0.4458 0.8305 0.5317  2 Ge 2.62-2.81, 1 Se 2.81
Ge: 0.9183 0.8161 0.5546  2 Zn 2.62-2.81, 1 Se 2.74
Se: 0.0882 0.5262 0.7876  1 Ge 2.74, 1 Zn 2.81



Respective volume values: 238.06, 251.37, 90.95, 248.57 Å³/cell.